# 1
VASP calculation (PBE) on crystalline TiBrO2 at its relaxed geometry.

Output
Size of the total moment ... 0.0 μB/f.u.
Raw formation energy ... -396 meV/atom
V ... 46.35 Å³/cell
Symmetry ... Fm-3m (225)
Raw total energy ... -5.27 eV/atom
ΔE to the lowest computed polymorph ... 1.630 eV/atom

abc: 4.0321 4.0321 4.0321
angles: 60.00 60.00 60.00
Fractional positions:
O: 0.2500 0.2500 0.2500
O: 0.7500 0.7500 0.7500
Br: 0.5000 0.5000 0.5000
Ti: 0.0000 0.0000 0.0000

# 2
VASP calculation (PBE) on crystalline Ti2BrO at its relaxed geometry.

Output
Size of the total moment ... 0.0 μB/f.u.
Raw formation energy ... -1117 meV/atom
V ... 143.22 Å³/cell
Symmetry ... I-42d (122)
Raw total energy ... -6.72 eV/atom
ΔE to the lowest computed polymorph ... 0.000 eV/atom

abc: 5.1076 5.1076 6.5715
angles: 67.13 67.13 90.00
Fractional positions:
O: 0.5000 0.5000 0.0000
O: 0.2500 0.7500 0.5000
Br: 0.0000 0.0000 0.0000
Br: 0.7500 0.2500 0.5000
Ti: 0.5059 0.1250 0.2500
Ti: 0.2441 0.6250 0.2500
Ti: 0.3750 0.4941 0.7500
Ti: 0.8750 0.7559 0.7500

# 3
VASP calculation (PBE) on crystalline TiBr2O2 at its relaxed geometry.

Output
Size of the total moment ... 1.0 μB/f.u.
Raw formation energy ... 310 meV/atom
V ... 81.20 Å³/cell
Symmetry ... I4/mmm (139)
Raw total energy ... -3.92 eV/atom
ΔE to the lowest computed polymorph ... 0.163 eV/atom

abc: 3.0550 3.0550 8.9645
angles: 80.19 80.19 90.00
Fractional positions:
O: 0.7500 0.2500 0.5000
O: 0.2500 0.7500 0.5000
Br: 0.4072 0.4072 0.1857
Br: 0.5928 0.5928 0.8143
Ti: 0.0000 0.0000 0.0000